(1)
Here is crystalline TaTiCo at its relaxed geometry from Alexandria. Energies are from PBE.

The calculation puts the density of states at the Fermi level at 1.301 states/eV per atom. The calculation puts the formation energy at -0.249 eV per atom. The energy above the most stable polymorph in this dataset is 0.0 meV/atom.

a b c (Å): 5.034 8.400 8.602
angles (deg): 90.00 90.00 90.00
Space group Fmmm (No. 69)
Inequivalent atoms, fractional coordinates:
Ta  0.000  0.163  0.000 (multiplicity 8)
Ti  0.000  0.000  0.336 (multiplicity 8)
Co  0.250  0.250  0.250 (multiplicity 8)



(2)
Here is crystalline Ta2TiCo at its relaxed geometry from Alexandria. Energies are from PBE.

The calculation puts the density of states at the Fermi level at 1.421 states/eV per atom. The calculation puts the formation energy at 0.343 eV per atom. The energy above the most stable polymorph in this dataset is 451.4 meV/atom.

a b c (Å): 7.143 7.143 5.314
angles (deg): 90.00 90.00 90.00
Space group I-42d (No. 122)
Inequivalent atoms, fractional coordinates:
Ta  0.211  0.250  0.125 (multiplicity 8)
Ti  0.000  0.000  0.500 (multiplicity 4)
Co  0.000  0.000  0.000 (multiplicity 4)



(3)
Here is crystalline TaTi6Co5 at its relaxed geometry from Alexandria. Energies are from PBE.

The calculation puts the density of states at the Fermi level at 0.821 states/eV per atom. The calculation puts the formation energy at -0.281 eV per atom.

a b c (Å): 4.259 6.095 12.773
angles (deg): 90.00 90.00 90.00
Space group Immm (No. 71)
Inequivalent atoms, fractional coordinates:
Ta  0.000  0.000  0.000 (multiplicity 2)
Ti  0.000  0.241  0.500 (multiplicity 4)
Ti  0.000  0.254  0.170 (multiplicity 8)
Co  0.000  0.000  0.331 (multiplicity 4)
Co  0.000  0.500  0.000 (multiplicity 2)
Co  0.000  0.500  0.330 (multiplicity 4)



(4)
Here is crystalline Ta2TiCo at its relaxed geometry from Alexandria. Energies are from PBE.

The calculation puts the density of states at the Fermi level at 0.730 states/eV per atom. The calculation puts the formation energy at -0.084 eV per atom. The energy above the most stable polymorph in this dataset is 24.5 meV/atom.

a b c (Å): 3.052 3.052 6.819
angles (deg): 90.00 90.00 90.00
Space group P4/mmm (No. 123)
Inequivalent atoms, fractional coordinates:
Ta  0.000  0.000  0.228 (multiplicity 2)
Ti  0.500  0.500  0.500 (multiplicity 1)
Co  0.500  0.500  0.000 (multiplicity 1)



(5)
Here is crystalline Ta3TiCo at its relaxed geometry from Alexandria. Energies are from PBE.

The calculation puts the density of states at the Fermi level at 2.043 states/eV per atom. The calculation puts the formation energy at 0.716 eV per atom. The energy above the most stable polymorph in this dataset is 568.2 meV/atom.

a b c (Å): 4.585 4.585 4.585
angles (deg): 90.00 90.00 90.00
Space group Pm-3m (No. 221)
Inequivalent atoms, fractional coordinates:
Ta  0.000  0.000  0.500 (multiplicity 3)
Ti  0.500  0.500  0.500 (multiplicity 1)
Co  0.000  0.000  0.000 (multiplicity 1)



(6)
Here is crystalline TaTiTl2Co at its relaxed geometry from Alexandria. Energies are from PBE.

The calculation puts the density of states at the Fermi level at 1.254 states/eV per atom. The calculation puts the formation energy at 0.935 eV per atom.

a b c (Å): 4.864 4.864 4.348
angles (deg): 90.00 90.00 90.00
Space group P4/mmm (No. 123)
Inequivalent atoms, fractional coordinates:
Ta  0.000  0.000  0.000 (multiplicity 1)
Ti  0.500  0.500  0.000 (multiplicity 1)
Tl  0.000  0.500  0.500 (multiplicity 2)
Co  0.500  0.500  0.500 (multiplicity 1)